1.
Density functional theory data (PBE-GGA) for a relaxed structure of Gd2SiHg.

POSCAR file:
```
Gd2SiHg
1.0
2.100 1.212 7.394
-2.100 1.212 7.394
0.000 -2.424 7.394
Gd Si Hg
2 1 1
Cartesian
0.000 0.000 5.240
0.000 0.000 16.942
0.000 0.000 11.091
0.000 0.000 0.000
```

## Properties
Formation energy without anion corrections   -474 meV/atom
Space-group type   R-3m
Raw total energy   -8.9457 eV per atom
Spin magnetization   15.0 μB/cell

***

2.
Density functional theory data (PBE-GGA) for a relaxed structure of Ac4O4F5.

POSCAR file:
```
Ac4O4F5
1.0
-5.163 5.163 2.029
5.163 -5.163 2.029
5.163 5.163 -2.029
Ac O F
4 4 5
Cartesian
7.659 0.761 0.000
0.761 2.667 0.000
4.402 2.496 2.029
-2.496 4.402 2.029
3.885 1.288 0.000
3.875 -1.278 2.029
1.288 6.441 0.000
1.278 3.875 2.029
0.000 0.000 0.000
6.294 3.211 0.000
3.211 4.032 0.000
1.952 1.131 2.029
-1.131 1.952 2.029
```

## Properties
Formation energy without anion corrections   -3507 meV/atom
Space-group type   I4/m
Raw total energy   -7.0168 eV per atom
Spin magnetization   1.1 μB/cell

***

What did the second record say?
Density functional theory data (PBE-GGA) for a relaxed structure of Ac4O4F5.

POSCAR file:
```
Ac4O4F5
1.0
-5.163 5.163 2.029
5.163 -5.163 2.029
5.163 5.163 -2.029
Ac O F
4 4 5
Cartesian
7.659 0.761 0.000
0.761 2.667 0.000
4.402 2.496 2.029
-2.496 4.402 2.029
3.885 1.288 0.000
3.875 -1.278 2.029
1.288 6.441 0.000
1.278 3.875 2.029
0.000 0.000 0.000
6.294 3.211 0.000
3.211 4.032 0.000
1.952 1.131 2.029
-1.131 1.952 2.029
```

## Properties
Formation energy without anion corrections   -3507 meV/atom
Space-group type   I4/m
Raw total energy   -7.0168 eV per atom
Spin magnetization   1.1 μB/cell

***

Question: Look up the raw total energy of the second one.
Answer: -7.0168 eV per atom

***

Question: Which of these has the lowest raw total energy?
Answer: Gd2SiHg